[1]
The following is a DFT calculation (PBE) of a geometry-optimized Sm2HoCu structure.

Cell lengths 3.6142, 3.6142, 30.1173 Å; angles 90.00, 90.00, 120.00 degrees
Space group R-3m (No. 166, hexagonal axes)
Symmetry-distinct sites (fractional):
Sm 0.0000 0.0000 0.2364 x6
Ho 0.0000 0.0000 0.0000 x3
Cu 0.0000 0.0000 0.5000 x3

Summary:
**Formation energy**: 52 meV/atom
**Calculated total energy**: -4.476 eV per atom
**Relative energy among the computed polymorphs**: 132 meV per atom

=====

[2]
The following is a DFT calculation (PBE) of a geometry-optimized Sm2HoCu3 structure.

Cell lengths 3.5039, 3.5039, 10.5890 Å; angles 90.00, 90.00, 90.00 degrees
Space group P4/mmm (No. 123)
Symmetry-distinct sites (fractional):
Sm 0.0000 0.0000 0.1698 x2
Ho 0.0000 0.0000 0.5000 x1
Cu 0.5000 0.5000 0.0000 x1
Cu 0.5000 0.5000 0.3437 x2

Summary:
**Formation energy**: -211 meV/atom
**Calculated total energy**: -4.595 eV per atom
**Relative energy among the computed polymorphs**: 0 meV per atom

=====

[3]
The following is a DFT calculation (PBE) of a geometry-optimized Sm2HoCu6 structure.

Cell lengths 7.3606, 7.3606, 3.6331 Å; angles 90.00, 90.00, 120.00 degrees
Space group P6/mmm (No. 191)
Symmetry-distinct sites (fractional):
Sm 0.3333 0.6667 0.0000 x2
Ho 0.0000 0.0000 0.0000 x1
Cu 0.0000 0.3314 0.5000 x6

Summary:
**Formation energy**: -241 meV/atom
**Calculated total energy**: -4.529 eV per atom

=====

[4]
The following is a DFT calculation (PBE) of a geometry-optimized SmHo2Cu structure.

Cell lengths 3.6598, 3.6598, 29.0386 Å; angles 90.00, 90.00, 120.00 degrees
Space group R3m (No. 160, hexagonal axes)
Symmetry-distinct sites (fractional):
Sm 0.0000 0.0000 0.0000 x3
Ho 0.0000 0.0000 0.5650 x3
Ho 0.0000 0.0000 0.7664 x3
Cu 0.0000 0.0000 0.1651 x3

Summary:
**Formation energy**: 25 meV/atom
**Calculated total energy**: -4.467 eV per atom
**Relative energy among the computed polymorphs**: 131 meV per atom

=====

[5]
The following is a DFT calculation (PBE) of a geometry-optimized SmHo3Cu2 structure.

Cell lengths 3.4790, 3.4790, 12.1431 Å; angles 90.00, 90.00, 90.00 degrees
Space group P4/mmm (No. 123)
Symmetry-distinct sites (fractional):
Sm 0.0000 0.0000 0.0000 x1
Ho 0.5000 0.5000 0.2198 x2
Ho 0.5000 0.5000 0.5000 x1
Cu 0.0000 0.0000 0.3584 x2

Summary:
**Formation energy**: -162 meV/atom
**Calculated total energy**: -4.603 eV per atom
**Relative energy among the computed polymorphs**: 0 meV per atom

=====

[6]
The following is a DFT calculation (PBE) of a geometry-optimized SmHo2Cu structure.

Cell lengths 4.9225, 11.6646, 7.5012 Å; angles 90.00, 90.00, 90.00 degrees
Space group Cmcm (No. 63)
Symmetry-distinct sites (fractional):
Sm 0.0000 0.0467 0.2500 x4
Ho 0.0000 0.3509 0.0312 x8
Cu 0.0000 0.2012 0.7500 x4

Summary:
**Formation energy**: -68 meV/atom
**Calculated total energy**: -4.560 eV per atom
**Relative energy among the computed polymorphs**: 38 meV per atom

=====

[7]
The following is a DFT calculation (PBE) of a geometry-optimized SmHo2Cu structure.

Cell lengths 3.5977, 3.5977, 29.6963 Å; angles 90.00, 90.00, 120.00 degrees
Space group R-3m (No. 166, hexagonal axes)
Symmetry-distinct sites (fractional):
Sm 0.0000 0.0000 0.0000 x3
Ho 0.0000 0.0000 0.2336 x6
Cu 0.0000 0.0000 0.5000 x3

Summary:
**Formation energy**: 27 meV/atom
**Calculated total energy**: -4.465 eV per atom
**Relative energy among the computed polymorphs**: 133 meV per atom

=====

[8]
The following is a DFT calculation (PBE) of a geometry-optimized SmHo2Cu2 structure.

Cell lengths 3.5183, 5.1090, 13.0859 Å; angles 90.00, 97.72, 90.00 degrees
Space group P2_1/m (No. 11)
Symmetry-distinct sites (fractional):
Sm 0.1416 0.2500 0.2827 x2
Ho 0.0467 0.7500 0.0934 x2
Ho 0.2307 0.7500 0.4609 x2
Cu 0.3591 0.2500 0.7187 x2
Cu 0.4564 0.7500 0.9130 x2

Summary:
**Formation energy**: -154 meV/atom
**Calculated total energy**: -4.568 eV per atom
**Relative energy among the computed polymorphs**: 0 meV per atom

=====

[9]
The following is a DFT calculation (PBE) of a geometry-optimized Sm2HoCu structure.

Cell lengths 4.9439, 11.6227, 7.6867 Å; angles 90.00, 90.00, 90.00 degrees
Space group Cmcm (No. 63)
Symmetry-distinct sites (fractional):
Sm 0.0000 0.1453 0.0306 x8
Ho 0.0000 0.4565 0.2500 x4
Cu 0.0000 0.2998 0.7500 x4

Summary:
**Formation energy**: -39 meV/atom
**Calculated total energy**: -4.568 eV per atom
**Relative energy among the computed polymorphs**: 41 meV per atom

=====

[10]
The following is a DFT calculation (PBE) of a geometry-optimized SmHo2Cu structure.

Cell lengths 6.8189, 9.8188, 6.4788 Å; angles 90.00, 90.00, 90.00 degrees
Space group Pnma (No. 62)
Symmetry-distinct sites (fractional):
Sm 0.0107 0.2500 0.1341 x4
Ho 0.1838 0.0582 0.6803 x8
Cu 0.1041 0.7500 0.4351 x4

Summary:
**Formation energy**: -98 meV/atom
**Calculated total energy**: -4.590 eV per atom
**Relative energy among the computed polymorphs**: 8 meV per atom

=====

[11]
The following is a DFT calculation (PBE) of a geometry-optimized Sm2HoCu structure.

Cell lengths 3.5752, 3.5752, 8.6089 Å; angles 90.00, 90.00, 90.00 degrees
Space group P4/mmm (No. 123)
Symmetry-distinct sites (fractional):
Sm 0.0000 0.0000 0.2021 x2
Ho 0.5000 0.5000 0.5000 x1
Cu 0.5000 0.5000 0.0000 x1

Summary:
**Formation energy**: -57 meV/atom
**Calculated total energy**: -4.585 eV per atom
**Relative energy among the computed polymorphs**: 23 meV per atom

=====

[12]
The following is a DFT calculation (PBE) of a geometry-optimized Sm4HoCu4 structure.

Cell lengths 8.4932, 8.4932, 6.2694 Å; angles 90.00, 90.00, 90.00 degrees
Space group P4_2/n (No. 86, origin choice 2)
Symmetry-distinct sites (fractional):
Sm 0.0450 0.6617 0.1511 x8
Ho 0.2500 0.2500 0.2500 x2
Cu 0.0184 0.6263 0.6056 x8

Summary:
**Formation energy**: -20 meV/atom
**Calculated total energy**: -4.446 eV per atom